[1]
{
  "formula": "HfSiIr",
  "functional": "PBE",
  "state": "optimized geometry",
  "total_magnetization_mub_per_cell": 0.0,
  "total_energy_ev_per_atom": -9.01,
  "spacegroup": "P6_3mc, No. 186",
  "lattice": [[-0.895, -3.399, -2.298], [-1.239, 0.211, 4.007], [-5.606, 2.746, -1.877]],
  "species": ["Si", "Si", "Ir", "Ir", "Hf", "Hf"],
  "frac_coords": [[0.333, 0.667, 0.462], [0.667, 0.333, 0.962], [0.333, 0.667, 0.047], [0.667, 0.333, 0.547], [0.000, 0.000, 0.241], [0.000, 0.000, 0.741]]
}

[2]
{
  "formula": "Hf3Si4Ir",
  "functional": "PBE",
  "state": "optimized geometry",
  "total_magnetization_mub_per_cell": 0.0,
  "total_energy_ev_per_atom": -8.17,
  "spacegroup": "Pm, No. 6",
  "lattice": [[5.170, 0.000, 0.000], [0.000, 3.844, 0.000], [-0.247, 0.000, 6.559]],
  "species": ["Ir", "Si", "Si", "Si", "Si", "Hf", "Hf", "Hf"],
  "frac_coords": [[0.380, 0.000, 0.162], [0.856, 0.000, 0.055], [0.627, 0.000, 0.539], [0.358, 0.500, 0.430], [0.164, 0.500, 0.981], [0.859, 0.500, 0.325], [0.638, 0.500, 0.824], [0.119, 0.000, 0.683]]
}